(1)
Material: TlRuCO2
Method: DFT, GGA-PBE
State: relaxed

Cell: 3.934 3.934 4.280 Å, 90.00 90.00 90.00°
Space group P4/mmm (No. 123)
Symmetry-distinct sites (fractional):
1 Tl 0.000 0.000 0.000 [1 per cell]
2 Ru 0.500 0.500 0.000 [1 per cell]
3 C 0.000 0.000 0.500 [1 per cell]
4 O 0.000 0.500 0.500 [2 per cell]

- total moment (Bohr magnetons per cell) = 3.2
- DOS at the Fermi energy (states/eV per atom) = 0.61

---

(2)
Material: HfBeZn
Method: DFT, GGA-PBE
State: relaxed

Cell: 4.0380 4.0380 3.1929 Å, 90.00 90.00 120.00°
Space group P-6m2 (No. 187)
Symmetry-distinct sites (fractional):
1 Hf 0.0000 0.0000 0.0000 [1 per cell]
2 Be 0.6667 0.3333 0.5000 [1 per cell]
3 Zn 0.3333 0.6667 0.5000 [1 per cell]

- total moment (Bohr magnetons per cell) = 0.0
- DOS at the Fermi energy (states/eV per atom) = 0.52
- DFT formation energy (eV/atom) = -0.17
- offset from the most stable computed form (meV/atom) = 58

---

(3)
Material: CeUSO2
Method: DFT, GGA-PBE
State: relaxed

Cell: 3.820 3.820 11.920 Å, 90.00 90.00 90.00°
Space group I4mm (No. 107)
Symmetry-distinct sites (fractional):
1 Ce 0.000 0.000 0.000 [2 per cell]
2 U 0.000 0.000 0.279 [2 per cell]
3 S 0.000 0.000 0.644 [2 per cell]
4 O 0.000 0.500 0.386 [4 per cell]

- total moment (Bohr magnetons per cell) = 7.9
- DOS at the Fermi energy (states/eV per atom) = 2.22

---

(4)
Material: LiCa2Fe
Method: DFT, GGA-PBE
State: relaxed

Cell: 4.461 4.461 10.351 Å, 90.00 90.00 90.00°
Space group I-4m2 (No. 119)
Symmetry-distinct sites (fractional):
1 Li 0.000 0.000 0.000 [2 per cell]
2 Ca 0.000 0.000 0.500 [2 per cell]
3 Ca 0.000 0.500 0.750 [2 per cell]
4 Fe 0.000 0.500 0.250 [2 per cell]

- total moment (Bohr magnetons per cell) = 4.6
- DOS at the Fermi energy (states/eV per atom) = 1.62
- DFT formation energy (eV/atom) = 0.47

---

(5)
Material: KSr2Sb
Method: DFT, GGA-PBE
State: relaxed

Cell: 4.465 6.319 14.206 Å, 90.00 90.00 90.00°
Space group Immm (No. 71)
Symmetry-distinct sites (fractional):
1 K 0.000 0.000 0.000 [2 per cell]
2 Sr 0.000 0.500 0.167 [4 per cell]
3 Sb 0.000 0.000 0.500 [2 per cell]

- total moment (Bohr magnetons per cell) = 0.0
- DOS at the Fermi energy (states/eV per atom) = 0.59

---

(6)
Material: KCaCuO3
Method: DFT, GGA-PBE
State: relaxed

Cell: 12.888 3.772 7.436 Å, 90.00 105.03 90.00°
Space group C2/m (No. 12)
Symmetry-distinct sites (fractional):
1 K 0.149 0.000 0.068 [4 per cell]
2 Ca 0.153 0.000 0.577 [4 per cell]
3 Cu 0.008 0.500 0.279 [4 per cell]
4 O 0.005 0.000 0.303 [4 per cell]
5 O 0.141 0.500 0.783 [4 per cell]
6 O 0.158 0.500 0.359 [4 per cell]

- total moment (Bohr magnetons per cell) = 1.2
- DOS at the Fermi energy (states/eV per atom) = 0.80

---

(7)
Material: Cs2MnHgSe4
Method: DFT, GGA-PBE
State: relaxed

Cell: 6.344 14.352 24.910 Å, 90.00 90.00 90.00°
Space group Fddd (No. 70, origin choice 2)
Symmetry-distinct sites (fractional):
1 Cs 0.125 0.125 0.307 [16 per cell]
2 Mn 0.125 0.125 0.625 [8 per cell]
3 Hg 0.125 0.125 0.125 [8 per cell]
4 Se 0.084 0.284 0.816 [32 per cell]

- total moment (Bohr magnetons per cell) = 24.0
- DOS at the Fermi energy (states/eV per atom) = 0.37

---

(8)
Material: TcOsI2N
Method: DFT, GGA-PBE
State: relaxed

Cell: 5.604 5.604 3.721 Å, 90.00 90.00 90.00°
Space group P4/mmm (No. 123)
Symmetry-distinct sites (fractional):
1 Tc 0.000 0.000 0.000 [1 per cell]
2 Os 0.500 0.500 0.500 [1 per cell]
3 I 0.000 0.500 0.500 [2 per cell]
4 N 0.500 0.500 0.000 [1 per cell]

- total moment (Bohr magnetons per cell) = 4.2
- DOS at the Fermi energy (states/eV per atom) = 0.82
- offset from the most stable computed form (meV/atom) = 0

---

(9)
Material: Pr2ScPdO6
Method: DFT, GGA-PBE
State: relaxed

Cell: 10.179 5.602 5.649 Å, 90.00 122.70 90.00°
Space group C2 (No. 5)
Symmetry-distinct sites (fractional):
1 Pr 0.247 0.000 0.224 [4 per cell]
2 Sc 0.000 0.013 0.500 [2 per cell]
3 Pd 0.000 0.512 0.000 [2 per cell]
4 O 0.068 0.758 0.815 [4 per cell]
5 O 0.069 0.263 0.827 [4 per cell]
6 O 0.233 0.047 0.621 [4 per cell]

- total moment (Bohr magnetons per cell) = 2.0
- DOS at the Fermi energy (states/eV per atom) = 0.14

---

(10)
Material: La3SnB2Pt9
Method: DFT, GGA-PBE
State: relaxed

Cell: 5.8842 5.8842 9.5736 Å, 90.00 90.00 120.00°
Space group P-3m1 (No. 164)
Symmetry-distinct sites (fractional):
1 La 0.0000 0.0000 0.0000 [1 per cell]
2 La 0.3333 0.6667 0.6259 [2 per cell]
3 Sn 0.0000 0.0000 0.5000 [1 per cell]
4 B 0.3333 0.6667 0.1437 [2 per cell]
5 Pt 0.0000 0.5000 0.0000 [3 per cell]
6 Pt 0.1681 0.3362 0.2794 [6 per cell]

- total moment (Bohr magnetons per cell) = 0.0
- DOS at the Fermi energy (states/eV per atom) = 0.48
- DFT formation energy (eV/atom) = -0.81

---

(11)
Material: NaUInF6
Method: DFT, GGA-PBE
State: relaxed

Cell: 6.2034 6.2034 10.9916 Å, 90.00 90.00 120.00°
Space group P-31c (No. 163)
Symmetry-distinct sites (fractional):
1 Na 0.3333 0.6667 0.2500 [2 per cell]
2 U 0.3333 0.6667 0.7500 [2 per cell]
3 In 0.0000 0.0000 0.0000 [2 per cell]
4 F 0.0218 0.3799 0.6444 [12 per cell]

- total moment (Bohr magnetons per cell) = 4.0
- DOS at the Fermi energy (states/eV per atom) = 0.88

---

(12)
Material: Nd6Ge2SeI3
Method: DFT, GGA-PBE
State: relaxed

Cell: 7.512 13.012 8.098 Å, 90.00 108.02 90.00°
Space group C2/m (No. 12)
Symmetry-distinct sites (fractional):
1 Nd 0.228 0.000 0.196 [4 per cell]
2 Nd 0.234 0.331 0.196 [8 per cell]
3 Ge 0.000 0.167 0.000 [4 per cell]
4 Se 0.000 0.500 0.000 [2 per cell]
5 I 0.000 0.000 0.500 [2 per cell]
6 I 0.000 0.332 0.500 [4 per cell]

- total moment (Bohr magnetons per cell) = 0.0
- DOS at the Fermi energy (states/eV per atom) = 0.39

---

(13)
Material: TlInTc
Method: DFT, GGA-PBE
State: relaxed

Cell: 4.432 4.448 13.249 Å, 90.00 90.00 90.00°
Space group Fmm2 (No. 42)
Symmetry-distinct sites (fractional):
1 Tl 0.000 0.000 0.000 [4 per cell]
2 In 0.000 0.000 0.289 [4 per cell]
3 Tc 0.000 0.000 0.653 [4 per cell]

- total moment (Bohr magnetons per cell) = 6.5
- DOS at the Fermi energy (states/eV per atom) = 0.93
- DFT formation energy (eV/atom) = 0.59
- offset from the most stable computed form (meV/atom) = 36

---

(14)
Material: CsRb2Tl2
Method: DFT, GGA-PBE
State: relaxed

Cell: 12.928 7.409 11.692 Å, 90.00 106.28 90.00°
Space group C2/c (No. 15)
Symmetry-distinct sites (fractional):
1 Cs 0.000 0.192 0.250 [4 per cell]
2 Rb 0.147 0.323 0.646 [8 per cell]
3 Tl 0.153 0.156 0.999 [8 per cell]

- total moment (Bohr magnetons per cell) = 0.0
- DOS at the Fermi energy (states/eV per atom) = 0.39
- DFT formation energy (eV/atom) = -0.04
- offset from the most stable computed form (meV/atom) = 8

---

(15)
Material: Tl2PtNO
Method: DFT, GGA-PBE
State: relaxed

Cell: 5.555 5.555 3.769 Å, 90.00 90.00 90.00°
Space group P4/mmm (No. 123)
Symmetry-distinct sites (fractional):
1 Tl 0.000 0.500 0.000 [2 per cell]
2 Pt 0.000 0.000 0.500 [1 per cell]
3 N 0.500 0.500 0.500 [1 per cell]
4 O 0.000 0.000 0.000 [1 per cell]

- total moment (Bohr magnetons per cell) = 0.3
- DOS at the Fermi energy (states/eV per atom) = 1.11

---

(16)
Material: TlC
Method: DFT, GGA-PBE
State: relaxed

Cell: 7.274 7.999 11.791 Å, 90.00 90.00 90.00°
Space group Fddd (No. 70, origin choice 2)
Symmetry-distinct sites (fractional):
1 Tl 0.125 0.350 0.125 [16 per cell]
2 C 0.125 0.125 0.271 [16 per cell]

- total moment (Bohr magnetons per cell) = 0.0
- DOS at the Fermi energy (states/eV per atom) = 0.45
- DFT formation energy (eV/atom) = 2.07
- offset from the most stable computed form (meV/atom) = 1282

---

(17)
Material: RbSi
Method: DFT, GGA-PBE
State: relaxed

Cell: 5.724 5.905 6.730 Å, 65.68 66.02 75.31°
Space group P1 (No. 1)
Symmetry-distinct sites (fractional):
1 Rb 0.000 0.000 0.000 [1 per cell]
2 Rb 0.348 0.645 0.518 [1 per cell]
3 Si 0.711 0.037 0.595 [1 per cell]
4 Si 0.987 0.306 0.381 [1 per cell]

- total moment (Bohr magnetons per cell) = 0.0
- offset from the most stable computed form (meV/atom) = 312

---

(18)
Material: NdGeAu2
Method: DFT, GGA-PBE
State: relaxed

Cell: 7.047 7.047 7.047 Å, 90.00 90.00 90.00°
Space group Fm-3m (No. 225)
Symmetry-distinct sites (fractional):
1 Nd 0.000 0.000 0.000 [4 per cell]
2 Ge 0.000 0.000 0.500 [4 per cell]
3 Au 0.250 0.250 0.250 [8 per cell]

- total moment (Bohr magnetons per cell) = 0.0
- DOS at the Fermi energy (states/eV per atom) = 0.61
- DFT formation energy (eV/atom) = -0.53

---

(19)
Material: BeZnTc2
Method: DFT, GGA-PBE
State: relaxed

Cell: 5.179 8.248 2.597 Å, 90.00 106.19 90.00°
Space group C2/m (No. 12)
Symmetry-distinct sites (fractional):
1 Be 0.000 0.000 0.000 [2 per cell]
2 Zn 0.000 0.500 0.000 [2 per cell]
3 Tc 0.250 0.250 0.500 [4 per cell]

- total moment (Bohr magnetons per cell) = 0.0
- DOS at the Fermi energy (states/eV per atom) = 0.66
- DFT formation energy (eV/atom) = 0.17
- offset from the most stable computed form (meV/atom) = 212

---

(20)
Material: CuHgMo2
Method: DFT, GGA-PBE
State: relaxed

Cell: 4.012 4.012 7.981 Å, 90.00 90.00 90.00°
Space group I-4m2 (No. 119)
Symmetry-distinct sites (fractional):
1 Cu 0.000 0.000 0.000 [2 per cell]
2 Hg 0.000 0.500 0.750 [2 per cell]
3 Mo 0.000 0.000 0.500 [2 per cell]
4 Mo 0.000 0.500 0.250 [2 per cell]

- total moment (Bohr magnetons per cell) = 0.0
- DOS at the Fermi energy (states/eV per atom) = 0.61
- DFT formation energy (eV/atom) = 0.49

---

(21)
Material: Sm4Te2SeN2
Method: DFT, GGA-PBE
State: relaxed

Cell: 15.889 4.098 7.504 Å, 90.00 108.00 90.00°
Space group C2/m (No. 12)
Symmetry-distinct sites (fractional):
1 Sm 0.048 0.000 0.267 [4 per cell]
2 Sm 0.211 0.500 0.650 [4 per cell]
3 Te 0.133 0.500 0.037 [4 per cell]
4 Se 0.000 0.500 0.500 [2 per cell]
5 N 0.176 0.000 0.484 [4 per cell]

- total moment (Bohr magnetons per cell) = 0.0
- DOS at the Fermi energy (states/eV per atom) = 0.00

---

(22)
Material: Mg2TaCr
Method: DFT, GGA-PBE
State: relaxed

Cell: 4.580 4.580 6.768 Å, 90.00 90.00 90.00°
Space group I-4m2 (No. 119)
Symmetry-distinct sites (fractional):
1 Mg 0.000 0.000 0.000 [2 per cell]
2 Mg 0.000 0.500 0.250 [2 per cell]
3 Ta 0.000 0.500 0.750 [2 per cell]
4 Cr 0.000 0.000 0.500 [2 per cell]

- total moment (Bohr magnetons per cell) = 5.9
- DOS at the Fermi energy (states/eV per atom) = 1.06
- DFT formation energy (eV/atom) = 0.47
- offset from the most stable computed form (meV/atom) = 198

---

(23)
Material: Ac3La2Dy3
Method: DFT, GGA-PBE
State: relaxed

Cell: 10.2157 10.2157 6.8366 Å, 90.00 90.00 120.00°
Space group P6_3/mcm (No. 193)
Symmetry-distinct sites (fractional):
1 Ac 0.0000 0.2324 0.2500 [6 per cell]
2 La 0.3333 0.6667 0.0000 [4 per cell]
3 Dy 0.0000 0.4128 0.7500 [6 per cell]

- total moment (Bohr magnetons per cell) = 0.0
- DOS at the Fermi energy (states/eV per atom) = 2.00
- DFT formation energy (eV/atom) = 0.18

---

Calculated energy (eV/atom), listed in the same order as above: -4.5004; -5.1564; -8.8747; -3.1235; -2.5428; -5.2439; -3.8111; -5.5000; -7.6811; -6.5749; -5.9464; -4.9940; -4.5684; -1.5413; -3.9263; -3.7288; -2.9315; -4.5198; -6.2589; -6.0264; -6.6201; -5.6957; -4.3154
Calculated calculated density (g cm⁻³), listed in the same order as above: 8.76; 9.31; 8.44; 2.30; 2.78; 3.63; 4.90; 7.90; 6.48; 13.38; 4.44; 6.49; 10.61; 4.40; 9.05; 8.38; 2.00; 11.59; 8.43; 11.79; 6.89; 6.59; 7.77